## LiPrMg2Hg2 (PBE-GGA)

Data for an optimized crystal structure of LiPrMg2Hg2.

Structure (extended XYZ):
```
6
Lattice="4.8936 0.0000 0.0000 -2.4468 4.2380 0.0000 0.0000 0.0000 6.7652" Properties=species:S:1:pos:R:3 pbc="T T T"
Li 0.0000 0.0000 3.3826
Pr 0.0000 0.0000 0.0000
Mg 0.0000 2.8253 4.5631
Mg 2.4468 1.4127 2.2022
Hg 0.0000 2.8253 1.6333
Hg 2.4468 1.4127 5.1319
```

Properties
VASP energy = -2.10 eV per atom
N(E_F) = 3.44 states/eV per cell
magnetic moment = 0.0 μB per formula unit
SG = No. 164
energy relative to the elements = -348 meV/atom
crystal system = trigonal



## MnTl4Cr3Se8 (PBE-GGA)

Data for an optimized crystal structure of MnTl4Cr3Se8.

Structure (extended XYZ):
```
16
Lattice="-3.2519 -6.2470 -2.9583 0.5118 -3.9401 7.7837 -3.7269 6.6561 -0.1286" Properties=species:S:1:pos:R:3 pbc="T T T"
Mn 0.2559 -1.9701 3.8919
Tl -1.6259 -3.1235 -1.4792
Tl -3.4894 0.2045 -1.5435
Tl 0.0000 0.0000 0.0000
Tl -1.8635 3.3281 -0.0643
Cr -1.3700 -5.0936 2.4127
Cr -3.2335 -1.7655 2.3484
Cr -1.6076 1.3580 3.8275
Se -3.9423 2.2367 4.4899
Se -2.0937 -1.0619 4.5514
Se -2.7656 0.6585 1.6316
Se -5.5542 -0.8595 3.0242
Se -0.9129 -2.6715 1.6726
Se -3.7014 -4.1896 3.0652
Se -4.3733 -2.4692 0.1454
Se -2.5247 -5.7678 0.2069
```

Properties
VASP energy = -5.18 eV per atom
N(E_F) = 3.62 states/eV per cell
magnetic moment = 13.1 μB per formula unit
E_form (uncorrected) = -474 meV/atom
SG = No. 2
crystal system = triclinic



## NaDy3Ag2Te6 (PBE-GGA)

Data for an optimized crystal structure of NaDy3Ag2Te6.

Structure (extended XYZ):
```
12
Lattice="4.4627 0.0000 0.0000 0.0000 8.7886 0.0174 -2.2313 -2.8696 9.7886" Properties=species:S:1:pos:R:3 pbc="T T T"
Na 2.2313 0.0000 0.0000
Dy 2.2313 4.3943 0.0087
Dy 2.2313 -0.1593 6.4688
Dy 0.0000 6.0783 3.3372
Ag 2.2313 5.0372 5.5813
Ag 0.0000 0.8818 4.2246
Te 0.0000 6.3526 6.5515
Te 2.2313 3.9156 3.0798
Te 2.2313 -0.4336 3.2545
Te 2.2314 -0.5731 9.5044
Te 0.0000 6.4921 0.3016
Te 0.0000 2.0034 6.7262
```

Properties
VASP energy = -4.31 eV per atom
magnetic moment = 0.0 μB per formula unit
E_form (uncorrected) = -1000 meV/atom
SG = No. 12
crystal system = monoclinic



## DyNp2Te5 (PBE-GGA)

Data for an optimized crystal structure of DyNp2Te5.

Structure (extended XYZ):
```
8
Lattice="5.3756 0.0000 0.0000 0.0000 7.4107 0.0000 0.0000 0.0000 7.4107" Properties=species:S:1:pos:R:3 pbc="T T T"
Dy 0.0000 0.0000 0.0000
Np 2.6878 3.7054 0.0000
Np 2.6878 0.0000 3.7054
Te 0.0000 5.3271 5.3271
Te 0.0000 2.0837 5.3271
Te 0.0000 5.3271 2.0837
Te 2.6878 0.0000 0.0000
Te 0.0000 2.0837 2.0837
```

Properties
VASP energy = -5.92 eV per atom
N(E_F) = 18.00 states/eV per cell
magnetic moment = 8.7 μB per formula unit
E_form (uncorrected) = -150 meV/atom
SG = No. 123
crystal system = tetragonal



## CaPr2Er (PBE-GGA)

Data for an optimized crystal structure of CaPr2Er.

Structure (extended XYZ):
```
4
Lattice="-3.4540 -0.4722 1.1797 1.0165 -1.3186 -3.2822 3.2219 -10.5175 5.2233" Properties=species:S:1:pos:R:3 pbc="T T T"
Ca -2.5668 -0.6402 0.2943
Pr -0.2115 -3.7183 0.1855
Pr 1.2985 -8.6473 2.6334
Er 2.0365 -6.4655 -0.0807
```

Properties
VASP energy = -4.01 eV per atom
N(E_F) = 5.30 states/eV per cell
magnetic moment = 0.0 μB per formula unit
SG = No. 38
energy relative to the elements = 22 meV/atom
crystal system = orthorhombic



## LaNd2Mg2In2 (PBE-GGA)

Data for an optimized crystal structure of LaNd2Mg2In2.

Structure (extended XYZ):
```
7
Lattice="5.0820 0.0000 0.0000 2.5410 4.4012 0.0000 2.5410 1.4671 9.1261" Properties=species:S:1:pos:R:3 pbc="T T T"
La 0.0000 0.0000 0.0000
Nd 2.5410 1.4671 5.5615
Nd 7.6230 4.4012 3.5646
Mg 5.0820 2.9341 1.9243
Mg 5.0820 2.9341 7.2018
In 7.6230 4.4012 7.1900
In 2.5410 1.4671 1.9361
```

Properties
VASP energy = -3.58 eV per atom
N(E_F) = 4.68 states/eV per cell
magnetic moment = 0.0 μB per formula unit
SG = No. 166
energy relative to the elements = -274 meV/atom
crystal system = trigonal



## In2POs (PBE-GGA)

Data for an optimized crystal structure of In2POs.

Structure (extended XYZ):
```
4
Lattice="3.0209 0.0000 0.0000 0.0000 3.0209 0.0000 0.0000 0.0000 8.5522" Properties=species:S:1:pos:R:3 pbc="T T T"
In 0.0000 0.0000 8.3049
In 1.5105 1.5105 2.5382
Os 0.0000 0.0000 4.6931
P 1.5105 1.5105 5.8444
```

Properties
VASP energy = -5.47 eV per atom
N(E_F) = 1.51 states/eV per cell
magnetic moment = 0.0 μB per formula unit
SG = No. 99
energy relative to the elements = 56 meV/atom
crystal system = tetragonal



## TlTe2HAu (PBE-GGA)

Data for an optimized crystal structure of TlTe2HAu.

Structure (extended XYZ):
```
5
Lattice="-5.2268 -2.8306 0.2655 2.5714 -4.4698 2.9684 -0.6982 1.5675 2.9651" Properties=species:S:1:pos:R:3 pbc="T T T"
H -0.3491 0.7837 1.4826
Tl -1.6768 -2.8665 3.0995
Te 1.2857 -2.2349 1.4842
Te -2.6134 -1.4153 0.1328
Au 0.0000 0.0000 0.0000
```

Properties
VASP energy = -3.03 eV per atom
N(E_F) = 3.10 states/eV per cell
magnetic moment = 0.0 μB per formula unit
SG = No. 123
crystal system = tetragonal



## BaCuHg3 (PBE-GGA)

Data for an optimized crystal structure of BaCuHg3.

Structure (extended XYZ):
```
5
Lattice="6.6517 0.0000 0.0000 0.0000 6.6517 0.0000 0.0000 0.0000 6.6517" Properties=species:S:1:pos:R:3 pbc="T T T"
Hg 0.0000 3.3259 0.0000
Hg 0.0000 0.0000 3.3259
Hg 3.3259 0.0000 0.0000
Cu 3.3259 3.3259 3.3259
Ba 0.0000 0.0000 0.0000
```

Properties
VASP energy = -0.75 eV per atom
N(E_F) = 3.83 states/eV per cell
magnetic moment = 0.0 μB per formula unit
SG = No. 221
energy relative to the elements = 630 meV/atom
crystal system = cubic



## TmGaCu3 (PBE-GGA)

Data for an optimized crystal structure of TmGaCu3.

Structure (extended XYZ):
```
10
Lattice="-1.2755 2.1731 -4.8176 4.0743 -2.4342 -2.1767 -3.1481 -4.5090 -0.8502" Properties=species:S:1:pos:R:3 pbc="T T T"
Tm 1.6125 -2.4888 -3.5923
Tm -1.9619 -2.2813 -4.2523
Ga 0.2035 -2.4206 -6.3059
Ga -0.5529 -2.3495 -1.5387
Cu 1.2125 -5.8516 -3.6712
Cu -1.5618 1.0816 -4.1734
Cu -0.7983 -4.6503 -2.5969
Cu 0.4490 -0.1197 -5.2477
Cu -0.3884 -4.4969 -5.0919
Cu 0.0391 -0.2731 -2.7527
```

Properties
VASP energy = -4.24 eV per atom
N(E_F) = 2.55 states/eV per cell
magnetic moment = 0.0 μB per formula unit
SG = No. 11
energy relative to the elements = -282 meV/atom
crystal system = monoclinic



## InAgTe2 (PBE-GGA)

Data for an optimized crystal structure of InAgTe2.

Structure (extended XYZ):
```
4
Lattice="-6.0872 -2.2146 -3.5182 -3.1649 -5.3087 -4.0171 -5.3820 -5.0252 -0.3590" Properties=species:S:1:pos:R:3 pbc="T T T"
Te -14.5774 -12.5006 -7.8600
Te -7.3737 -6.3223 -3.9815
Ag -3.6585 -3.1371 -1.9736
In -10.9756 -9.4114 -5.9208
```

Properties
VASP energy = -3.14 eV per atom
N(E_F) = 2.58 states/eV per cell
magnetic moment = 0.0 μB per formula unit
E_form (uncorrected) = -171 meV/atom
SG = No. 166
crystal system = trigonal



- Number 3 is which compound?
  NaDy3Ag2Te6



- Which value of magnetic moment does entry 8 give?
  0.0 μB per formula unit